BaTaO3: relaxed, PBE. Values from VASP.

```
&SYSTEM
  ibrav = 0, nat = 20, ntyp = 3
/
ATOMIC_SPECIES
Ba 137.33 Ba.upf
O 16.00 O.upf
Ta 180.95 Ta.upf
ATOMIC_POSITIONS crystal
Ba 0.500 0.000 0.000
Ba 0.000 0.500 0.000
Ba 0.500 0.000 0.500
Ba 0.000 0.500 0.500
O 0.632 0.434 0.099
O 0.868 0.934 0.099
O 0.235 0.253 0.250
O 0.265 0.753 0.250
O 0.632 0.434 0.401
O 0.868 0.934 0.401
O 0.132 0.066 0.599
O 0.368 0.566 0.599
O 0.735 0.247 0.750
O 0.765 0.747 0.750
O 0.132 0.066 0.901
O 0.368 0.566 0.901
Ta 0.474 0.480 0.250
Ta 0.026 0.980 0.250
Ta 0.974 0.020 0.750
Ta 0.526 0.520 0.750
CELL_PARAMETERS angstrom
6.608 0.000 0.000
0.000 5.529 0.000
0.000 0.000 9.748
```

Summary:
total energy: -0.3035 Ha/atom
magnetization: 0.0 μB per formula unit